(1)
18
Lattice="-4.4689 4.5008 4.9016 4.4689 -4.5008 4.9016 4.4689 4.5008 -4.9016" Properties=species:S:1:pos:R:3 comment="Sc6InPt2 (PBE-GGA, relaxed)" e_form_ev_per_atom=-0.7336 total_energy_ev_per_cell=-118.82 sg="No. 71" pbc="T T T"
Sc 4.4689 2.6330 -2.5660
Sc 2.5965 1.6847 0.0000
Sc 6.3413 1.6847 0.0000
Sc 1.8586 4.5008 -1.6819
Sc 2.6103 0.0000 3.2197
Sc 0.0000 1.8678 2.3357
Sc 4.4689 2.6330 2.5660
Sc 1.8586 4.5008 1.6819
Sc 2.6103 0.0000 6.5835
Sc -1.8724 2.8161 4.9016
Sc 1.8724 2.8161 4.9016
Sc 0.0000 1.8678 7.4676
In 0.0000 0.0000 0.0000
In 0.0000 0.0000 4.9016
Pt 4.4689 0.0000 1.3741
Pt 0.0000 3.0739 0.0000
Pt 0.0000 5.9277 0.0000
Pt 0.0000 4.5008 3.5275

(2)
4
Lattice="1.7583 1.0152 11.3956 -1.7583 1.0152 11.3956 0.0000 -2.0304 11.3956" Properties=species:S:1:pos:R:3 comment="LiNd2Zn (PBE-GGA, relaxed)" de_polymorph_ev_per_atom=0.2353 e_form_ev_per_atom=0.1161 total_energy_ev_per_cell=-12.26 sg="No. 166" pbc="T T T"
Li 0.0000 0.0000 0.0000
Nd 0.0000 0.0000 3.3995
Nd 0.0000 0.0000 30.7874
Zn 0.0000 0.0000 17.0935